# 1
Here is ErAsIrO after structural relaxation from OQMD via LeMat-Bulk. Energies are from PBE.

a b c (Å): 3.3768 7.8238 5.3167
angles (deg): 90.00 90.00 90.00
Last column: nearest neighbours and their distance in Å.
Element x y z (fractional)
As 0.0000 0.9262 0.4659  2 Ir 2.39
As 0.0000 0.0738 0.9659  2 Ir 2.39
Er 0.0000 0.3002 0.4694  2 O 2.12
Er 0.0000 0.6998 0.9694  2 O 2.12
Ir 0.5000 0.7100 0.4503  1 O 2.09
Ir 0.5000 0.2900 0.9504  1 O 2.09
O 0.5000 0.4491 0.3683  1 Ir 2.09, 2 Er 2.12
O 0.5000 0.5509 0.8683  1 Ir 2.09, 2 Er 2.12

As for the offset from the most stable computed form: 227.1 kJ/mol of formula units. The density is 10.6 g cm⁻³.

# 2
Here is K2Er2AsP after structural relaxation from OQMD via LeMat-Bulk. Energies are from PBE.

a b c (Å): 4.8909 4.8909 7.8640
angles (deg): 90.00 90.00 90.00
Last column: nearest neighbours and their distance in Å.
Element x y z (fractional)
As 0.0000 0.0000 0.6871  4 Er 2.88
Er 0.5000 0.0000 0.4940  2 P 2.79, 2 As 2.88
Er 0.0000 0.5000 0.4940  2 P 2.79, 2 As 2.88
K 0.0000 0.0000 0.1208  1 As 3.41, 4 P 3.81
K 0.5000 0.5000 0.8803  1 P 3.49, 4 As 3.78, 4 Er 3.90
P 0.5000 0.5000 0.3238  4 Er 2.79

As for the raw total energy: -25.66 eV for the cell shown. The density is 4.6 g cm⁻³.

# 3
Here is KErAsSe3 after structural relaxation from OQMD via LeMat-Bulk. Energies are from PBE.

a b c (Å): 8.0040 8.0040 11.4263
angles (deg): 90.00 90.00 148.52
Last column: nearest neighbours and their distance in Å.
Element x y z (fractional)
As 0.0965 0.9035 0.2500  4 Se 2.53-2.75
As 0.9035 0.0965 0.7500  4 Se 2.53-2.75
Er 0.5000 0.5000 0.0000  6 Se 2.86-2.87
Er 0.5000 0.5000 0.5000  6 Se 2.86-2.87
K 0.7795 0.2205 0.2500  2 Se 3.35, 2 As 3.56
K 0.2205 0.7795 0.7500  2 Se 3.35, 2 As 3.56
Se 0.1218 0.8782 0.0116  1 As 2.75, 2 Er 2.87
Se 0.5123 0.4877 0.2500  2 As 2.53
Se 0.1218 0.8782 0.4884  1 As 2.75, 2 Er 2.87
Se 0.8782 0.1218 0.5116  1 As 2.75, 2 Er 2.87
Se 0.4877 0.5123 0.7500  2 As 2.53
Se 0.8782 0.1218 0.9884  1 As 2.75, 2 Er 2.87

As for the raw total energy: -53.53 eV for the cell shown. The density is 4.5 g cm⁻³.

# 4
Here is LaErAsO after structural relaxation from OQMD via LeMat-Bulk. Energies are from PBE.

a b c (Å): 4.4451 4.4451 9.0928
angles (deg): 90.00 90.00 90.00
Last column: nearest neighbours and their distance in Å.
Element x y z (fractional)
As 0.0000 0.5000 0.3089  4 Er 2.82
As 0.5000 0.0000 0.6911  4 Er 2.82
Er 0.0000 0.0000 0.5000  4 As 2.82, 4 Er 3.14
Er 0.5000 0.5000 0.5000  4 As 2.82, 4 Er 3.14
La 0.5000 0.0000 0.1129  4 O 2.45
La 0.0000 0.5000 0.8871  4 O 2.45
O 0.0000 0.0000 0.0000  4 La 2.45
O 0.5000 0.5000 0.0000  4 La 2.45

As for the offset from the most stable computed form: 34.1 kJ/mol of formula units. The density is 7.3 g cm⁻³.

# 5
Here is LaErAsO after structural relaxation from OQMD via LeMat-Bulk. Energies are from PBE.

a b c (Å): 4.4185 7.4711 6.2380
angles (deg): 90.00 90.00 90.00
Last column: nearest neighbours and their distance in Å.
Element x y z (fractional)
As 0.0000 0.8104 0.4270  2 Er 2.74, 1 La 2.97
As 0.0000 0.1896 0.9270  2 Er 2.74, 1 La 2.97
Er 0.5000 0.3918 0.0218  2 O 2.19-2.20
Er 0.5000 0.6082 0.5218  2 O 2.19-2.20
La 0.0000 0.2076 0.4353  2 O 2.46
La 0.0000 0.7924 0.9353  2 O 2.46
O 0.5000 0.3433 0.3699  2 Er 2.19-2.20
O 0.5000 0.6567 0.8699  2 Er 2.19-2.20

As for the offset from the most stable computed form: 28.4 kJ/mol of formula units. The density is 6.4 g cm⁻³.

# 6
Here is LaErAsO after structural relaxation from OQMD via LeMat-Bulk. Energies are from PBE.

a b c (Å): 4.2288 4.2288 9.4210
angles (deg): 90.00 90.00 90.00
Last column: nearest neighbours and their distance in Å.
Element x y z (fractional)
As 0.0000 0.5000 0.2727  4 La 3.01, 4 O 3.33
As 0.5000 0.0000 0.7273  4 La 3.01, 4 O 3.33
Er 0.5000 0.0000 0.0947  4 O 2.29
Er 0.0000 0.5000 0.9053  4 O 2.29
La 0.0000 0.0000 0.5000  4 La 2.99, 4 As 3.01
La 0.5000 0.5000 0.5000  4 La 2.99, 4 As 3.01
O 0.0000 0.0000 0.0000  4 Er 2.29
O 0.5000 0.5000 0.0000  4 Er 2.29

As for the offset from the most stable computed form: 111.9 kJ/mol of formula units. The density is 7.8 g cm⁻³.

# 7
Here is LaErAsO after structural relaxation from OQMD via LeMat-Bulk. Energies are from PBE.

a b c (Å): 4.2281 4.2281 9.4548
angles (deg): 90.00 90.00 90.00
Last column: nearest neighbours and their distance in Å.
Element x y z (fractional)
As 0.7500 0.7500 0.2730  4 La 3.01, 4 O 3.34
As 0.2500 0.2500 0.7270  4 La 3.01, 4 O 3.34
Er 0.2500 0.2500 0.0945  4 O 2.30
Er 0.7500 0.7500 0.9055  4 O 2.30
La 0.7500 0.2500 0.5000  4 La 2.99, 4 As 3.01
La 0.2500 0.7500 0.5000  4 La 2.99, 4 As 3.01
O 0.7500 0.2500 0.0000  4 Er 2.30
O 0.2500 0.7500 0.0000  4 Er 2.30

As for the offset from the most stable computed form: 111.7 kJ/mol of formula units. The density is 7.8 g cm⁻³.

# 8
Here is LaErAsO after structural relaxation from OQMD via LeMat-Bulk. Energies are from PBE.

a b c (Å): 4.1945 6.0378 7.3945
angles (deg): 90.00 90.00 90.00
Last column: nearest neighbours and their distance in Å.
Element x y z (fractional)
As 0.0000 0.6894 0.3053  2 Er 2.86-2.89, 4 La 3.07-3.10
As 0.0000 0.3106 0.8053  2 Er 2.86-2.89, 4 La 3.07-3.10
Er 0.0000 0.1332 0.4422  2 O 2.21
Er 0.0000 0.8668 0.9422  2 O 2.21
La 0.5000 0.4149 0.1017  2 O 2.48-2.54
La 0.5000 0.5851 0.6017  2 O 2.48-2.54
O 0.5000 0.2406 0.4048  2 Er 2.21, 1 La 2.48
O 0.5000 0.7594 0.9048  2 Er 2.21, 1 La 2.48

As for the offset from the most stable computed form: 0.0 kJ/mol of formula units. The density is 7.0 g cm⁻³.

# 9
Here is LiErAs after structural relaxation from OQMD via LeMat-Bulk. Energies are from PBE.

a b c (Å): 4.5472 4.5472 4.5472
angles (deg): 60.00 60.00 60.00
Last column: nearest neighbours and their distance in Å.
Element x y z (fractional)
As 0.0000 0.0000 0.0000  4 Li 2.78, 4 Er 2.78
Er 0.2500 0.2500 0.2500  4 As 2.78
Li 0.7500 0.7500 0.7500  4 As 2.78

As for the offset from the most stable computed form: 0.0 kJ/mol of formula units. The density is 6.2 g cm⁻³.

# 10
Here is Li2ErNiAs2 after structural relaxation from OQMD via LeMat-Bulk. Energies are from PBE.

a b c (Å): 4.1302 4.1302 6.4070
angles (deg): 90.00 90.00 120.00
Last column: nearest neighbours and their distance in Å.
Element x y z (fractional)
As 0.6667 0.3333 0.2594  4 Li 2.46-2.49
As 0.3333 0.6667 0.7406  4 Li 2.46-2.49
Er 0.0000 0.0000 0.0000  6 As 2.91, 2 Ni 3.20
Li 0.3333 0.6667 0.3521  4 As 2.46-2.49, 3 Ni 2.57
Li 0.6667 0.3333 0.6479  4 As 2.46-2.49, 3 Ni 2.57
Ni 0.0000 0.0000 0.5000  6 Li 2.57, 6 As 2.84

As for the raw total energy: -27.44 eV for the cell shown. The density is 6.8 g cm⁻³.

# 11
Here is ErLuNi2As2 after structural relaxation from OQMD via LeMat-Bulk. Energies are from PBE.

a b c (Å): 4.0402 4.0402 14.9752
angles (deg): 90.00 90.00 120.00
Last column: nearest neighbours and their distance in Å.
Element x y z (fractional)
As 0.3333 0.6667 0.1209  3 Ni 2.35
As 0.3333 0.6667 0.3791  3 Ni 2.35
As 0.6667 0.3333 0.6209  3 Ni 2.35
As 0.6667 0.3333 0.8791  3 Ni 2.35
Er 0.0000 0.0000 0.0000  6 As 2.95, 6 Ni 3.12
Er 0.0000 0.0000 0.5000  6 As 2.95, 6 Ni 3.12
Lu 0.0000 0.0000 0.2500  6 Ni 2.87, 6 As 3.03
Lu 0.0000 0.0000 0.7500  6 Ni 2.87, 6 As 3.03
Ni 0.6667 0.3333 0.1380  3 As 2.35
Ni 0.6667 0.3333 0.3620  3 As 2.35
Ni 0.3333 0.6667 0.6380  3 As 2.35
Ni 0.3333 0.6667 0.8620  3 As 2.35

As for the offset from the most stable computed form: 0.0 kJ/mol of formula units. The density is 9.6 g cm⁻³.

# 12
Here is ErLuAsO after structural relaxation from OQMD via LeMat-Bulk. Energies are from PBE.

a b c (Å): 4.2818 4.2818 8.5544
angles (deg): 90.00 90.00 90.00
Last column: nearest neighbours and their distance in Å.
Element x y z (fractional)
As 0.7500 0.7500 0.2964  4 Lu 2.76
As 0.2500 0.2500 0.7036  4 Lu 2.76
Er 0.2500 0.2500 0.1016  4 O 2.31
Er 0.7500 0.7500 0.8984  4 O 2.31
Lu 0.7500 0.2500 0.5000  4 As 2.76, 4 Lu 3.03
Lu 0.2500 0.7500 0.5000  4 As 2.76, 4 Lu 3.03
O 0.7500 0.2500 0.0000  4 Er 2.31
O 0.2500 0.7500 0.0000  4 Er 2.31

As for the offset from the most stable computed form: 27.6 kJ/mol of formula units. The density is 9.2 g cm⁻³.

Computed magnetization, in the same sequence as the records: 0.001; 0.015; 0.006; 0.006; 0.022; 0.004; 0.031; 1.863; 0.005; 0.743; 0.009; 0.005 μB/cell.